# NdY2Er3S6 (PBE-GGA, optimized geometry)
# * calculated density: 6618 kg/m³
# * spin magnetization: 0.000 μB/f.u.
# * formation energy from raw total energies: -1.983 eV per atom
data_NdY2Er3S6
_space_group_name_H-M_alt 'C 1 2/m 1'
_space_group_IT_number 12
_space_group_name_Hall '-C 2y'
_cell_length_a 6.760
_cell_length_b 11.752
_cell_length_c 6.804
_cell_angle_alpha 90.00
_cell_angle_beta 109.39
_cell_angle_gamma 90.00
loop_
_atom_site_label
_atom_site_type_symbol
_atom_site_fract_x
_atom_site_fract_y
_atom_site_fract_z
Nd1 Nd 0.000 0.000 0.000
Y1 Y 0.000 0.334 0.000
Er1 Er 0.000 0.163 0.500
Er2 Er 0.000 0.500 0.500
S1 S 0.242 0.329 0.739
S2 S 0.245 0.500 0.258